1.
Material: TiAl2NiPb
Method: DFT, PBE
State: optimized geometry

Output
E_tot   -23.185 eV per formula unit
N(E_F)   1.072 states/eV per atom
Energy relative to the elements   0.337 eV/atom

Cell: 4.443 4.443 5.224 Å, 90.00 90.00 90.00°
Space group P4/mmm (No. 123)
Symmetry-distinct sites (fractional):
Ti  0.000  0.000  0.000
Al  0.000  0.500  0.500
Ni  0.500  0.500  0.500
Pb  0.500  0.500  0.000

2.
Material: AlNi2Pd8
Method: DFT, PBE
State: optimized geometry

Output
E_tot   -59.097 eV per formula unit
N(E_F)   1.440 states/eV per atom
Energy relative to the elements   -0.204 eV/atom

Cell: 13.817 3.943 6.107 Å, 90.00 105.93 90.00°
Space group C2/m (No. 12)
Symmetry-distinct sites (fractional):
Al  0.000  0.000  0.000
Ni  0.225  0.500  0.635
Pd  0.045  0.500  0.734
Pd  0.097  0.000  0.456
Pd  0.142  0.500  0.195
Pd  0.180  0.000  0.918

3.
Material: Al2NiPd
Method: DFT, PBE
State: optimized geometry

Output
E_tot   -19.205 eV per formula unit
N(E_F)   0.603 states/eV per atom
Energy relative to the elements   -0.186 eV/atom

Cell: 3.866 3.866 16.611 Å, 90.00 90.00 90.00°
Space group I-42d (No. 122)
Symmetry-distinct sites (fractional):
Al  0.237  0.250  0.125
Ni  0.000  0.000  0.000
Pd  0.000  0.000  0.500

4.
Material: AlNi3Pd
Method: DFT, PBE
State: optimized geometry

Output
E_tot   -22.664 eV per formula unit
Energy relative to the lowest polymorph listed for this composition   0.000 eV/atom
N(E_F)   1.383 states/eV per atom
Energy relative to the elements   0.723 eV/atom

Cell: 4.228 4.228 4.228 Å, 90.00 90.00 90.00°
Space group Pm-3m (No. 221)
Symmetry-distinct sites (fractional):
Al  0.000  0.000  0.000
Ni  0.000  0.000  0.500
Pd  0.500  0.500  0.500

5.
Material: AlNiPd
Method: DFT, PBE
State: optimized geometry

Output
E_tot   -16.510 eV per formula unit
N(E_F)   0.530 states/eV per atom
Energy relative to the elements   -0.598 eV/atom

Cell: 3.541 3.541 6.507 Å, 90.00 90.00 90.00°
Space group P4/nmm (No. 129, origin choice 2)
Symmetry-distinct sites (fractional):
Al  0.250  0.250  0.246
Ni  0.250  0.750  0.500
Pd  0.250  0.250  0.858

6.
Material: Al2NiPd8
Method: DFT, PBE
State: optimized geometry

Output
E_tot   -59.443 eV per formula unit
Energy relative to the lowest polymorph listed for this composition   0.000 eV/atom
N(E_F)   1.043 states/eV per atom
Energy relative to the elements   -0.421 eV/atom

Cell: 4.072 6.997 11.633 Å, 90.00 90.00 90.00°
Space group Immm (No. 71)
Symmetry-distinct sites (fractional):
Al  0.000  0.000  0.196
Ni  0.000  0.000  0.500
Pd  0.000  0.193  0.000
Pd  0.000  0.278  0.342
Pd  0.000  0.500  0.145

7.
Material: Al5Ni4Pd
Method: DFT, PBE
State: optimized geometry

Output
E_tot   -54.001 eV per formula unit
N(E_F)   0.417 states/eV per atom
Energy relative to the elements   -0.697 eV/atom

Cell: 2.932 2.932 14.649 Å, 90.00 90.00 90.00°
Space group P4/mmm (No. 123)
Symmetry-distinct sites (fractional):
Al  0.000  0.000  0.000
Al  0.000  0.000  0.194
Al  0.000  0.000  0.387
Ni  0.500  0.500  0.096
Ni  0.500  0.500  0.290
Pd  0.500  0.500  0.500

8.
Material: AlNi2Pd5
Method: DFT, PBE
State: optimized geometry

Output
E_tot   -43.596 eV per formula unit
N(E_F)   1.188 states/eV per atom
Energy relative to the elements   -0.291 eV/atom

Cell: 5.352 10.553 4.001 Å, 90.00 90.00 90.00°
Space group Pbam (No. 55)
Symmetry-distinct sites (fractional):
Al  0.000  0.000  0.000
Ni  0.191  0.365  0.500
Pd  0.000  0.500  0.000
Pd  0.070  0.760  0.000
Pd  0.193  0.110  0.500

9.
Material: Al2Ni9Pd
Method: DFT, PBE
State: optimized geometry

Output
E_tot   -67.873 eV per formula unit
N(E_F)   1.270 states/eV per atom
Energy relative to the elements   -0.264 eV/atom

Cell: 3.597 3.597 10.741 Å, 90.00 90.00 90.00°
Space group P4/mmm (No. 123)
Symmetry-distinct sites (fractional):
Al  0.000  0.000  0.163
Ni  0.000  0.500  0.000
Ni  0.000  0.500  0.327
Ni  0.500  0.500  0.164
Ni  0.500  0.500  0.500
Pd  0.000  0.000  0.500

10.
Material: Al2NiPd7
Method: DFT, PBE
State: optimized geometry

Output
E_tot   -49.209 eV per formula unit
N(E_F)   0.926 states/eV per atom
Energy relative to the elements   0.041 eV/atom

Cell: 7.288 12.208 4.183 Å, 90.00 90.00 90.00°
Space group Cmmm (No. 65)
Symmetry-distinct sites (fractional):
Al  0.000  0.198  0.000
Ni  0.000  0.500  0.500
Pd  0.000  0.000  0.000
Pd  0.000  0.292  0.500
Pd  0.188  0.386  0.000

11.
Material: Al3NiPd
Method: DFT, PBE
State: optimized geometry

Output
E_tot   -22.807 eV per formula unit
Energy relative to the lowest polymorph listed for this composition   0.000 eV/atom
N(E_F)   0.343 states/eV per atom
Energy relative to the elements   -0.121 eV/atom

Cell: 4.412 4.412 4.412 Å, 90.00 90.00 90.00°
Space group Pm-3m (No. 221)
Symmetry-distinct sites (fractional):
Al  0.000  0.000  0.500
Ni  0.000  0.000  0.000
Pd  0.500  0.500  0.500

12.
Material: AlNiPd
Method: DFT, PBE
State: optimized geometry

Output
E_tot   -14.283 eV per formula unit
N(E_F)   1.044 states/eV per atom
Energy relative to the elements   0.145 eV/atom

Cell: 2.692 2.692 12.999 Å, 90.00 90.00 90.00°
Space group I4mm (No. 107)
Symmetry-distinct sites (fractional):
Al  0.000  0.000  0.000
Ni  0.000  0.000  0.826
Pd  0.000  0.000  0.183

Table of calculated volume (Å³ per atom), in record order: 20.627, 14.542, 15.514, 15.113, 13.600, 15.065, 12.594, 14.122, 11.580, 18.606, 17.178, 15.696